SrCaP3: relaxed, PBE.

a = 5.352 Å, b = 5.352 Å, c = 5.352 Å
α = 90.00°, β = 90.00°, γ = 90.00°
Fractional positions:
Sr 0.000 0.000 0.000
Ca 0.500 0.500 0.500
P 0.000 0.000 0.500
P 0.000 0.500 0.000
P 0.500 0.000 0.000

Results
As for the calculated formation energy: 0.5250 eV/atom. The calculation puts the total magnetic moment at 0.00 μB/f.u. The energy relative to the lowest polymorph listed for this composition is 0.397 eV per atom. Its symmetry is Pm-3m (221).